Below is a relaxed structure of RbThS2O8, with properties calculated at the PBE level.

Properties
Formation energy from raw total energies, eV per atom: -1.878

Unit cell a=5.2687 b=5.2687 c=26.6431 alpha=90.00 beta=90.00 gamma=120.00
With the nearest neighbours (Å) after each atom.
Space group R-3 (No. 148, hexagonal axes)
One atom of each set of equivalent atoms:
Rb: 0.0000 0.0000 0.0000 x3  12 O 3.17-3.54
Th: 0.0000 0.0000 0.5000 x3  6 O 2.43
S: 0.0000 0.0000 0.2456 x6  4 O 1.46-1.51
O: 0.0000 0.0000 0.3003 x6  1 S 1.46
O: 0.0284 0.2801 0.2253 x18  1 S 1.51